## Ac2Er3Pt2 (PBE-GGA)

Data for a relaxed structure of Ac2Er3Pt2.

Space-group type = C2/m, No. 12

a b c (Å): 3.9029 6.7020 8.6716
angles (deg): 73.26 77.00 73.07
Atoms (fractional coordinates):
Ac: 0.1577 0.4881 0.1964
Ac: 0.8423 0.5119 0.8036
Er: 0.5000 0.0000 0.0000
Er: 0.3784 0.8098 0.4334
Er: 0.6216 0.1902 0.5666
Pt: 0.1618 0.9206 0.7559
Pt: 0.8382 0.0794 0.2441

***

## AcErPtRh (PBE-GGA)

Data for a relaxed structure of AcErPtRh.

Space-group type = F-43m, No. 216

a b c (Å): 5.0911 5.0911 5.0911
angles (deg): 60.00 60.00 60.00
Atoms (fractional coordinates):
Ac: 0.2500 0.2500 0.2500
Rh: 0.0000 0.0000 0.0000
Pt: 0.5000 0.5000 0.5000
Er: 0.7500 0.7500 0.7500

***

The evaluated ΔH_f (0 K) for the records listed, in turn: -768 -845 meV per atom.